Density functional theory data (PBE) for SrMgTl2 after structural relaxation.

extended XYZ file:
```
4
Lattice="6.177 0.091 0.000 2.262 5.749 0.000 -4.220 -2.920 3.440" Properties=species:S:1:pos:R:3 pbc="T T T"
Mg 4.220 2.920 0.000
Sr 3.089 0.046 1.720
Tl 0.000 0.000 0.000
Tl 1.131 2.875 1.720
```

Summary:
Energy of formation from the pure elements ... -0.17 eV per atom
E_tot ... -2.169 eV per atom
Symmetry ... I-4m2, No. 119

***

Density functional theory data (PBE) for Cs2LiPmI5 after structural relaxation.

extended XYZ file:
```
18
Lattice="-0.850 -2.371 -3.773 7.703 -6.812 5.272 -12.097 -7.785 7.616" Properties=species:S:1:pos:R:3 pbc="T T T"
Cs -4.854 -13.472 6.832
Cs -6.643 -7.224 6.036
Cs -1.934 -4.489 3.257
Cs 2.873 -8.794 2.152
Li -10.710 -9.580 5.705
Li 1.003 -10.260 6.221
Pm -2.383 -9.973 4.077
Pm 2.727 -3.398 1.521
I 4.929 -5.487 2.337
I -8.246 -11.072 6.088
I -9.957 -7.461 4.204
I -3.774 -9.739 6.969
I -0.533 -12.321 5.135
I -4.205 -7.640 3.021
I -0.066 -7.869 4.960
I 3.631 -10.202 5.592
I 0.737 -5.809 0.757
I 0.516 -1.283 0.690
```

Summary:
E_tot ... -3.131 eV per atom
Symmetry ... Cmc2_1, No. 36
E_form (uncorrected) ... -1.34 eV/atom

***

Density functional theory data (PBE) for AcYMgAu after structural relaxation.

extended XYZ file:
```
4
Lattice="5.452 0.000 0.000 2.726 4.722 0.000 2.726 1.574 4.452" Properties=species:S:1:pos:R:3 pbc="T T T"
Y 8.179 4.722 3.339
Ac 2.726 1.574 1.113
Au 0.000 0.000 0.000
Mg 5.452 3.148 2.226
```

Summary:
Energy of formation from the pure elements ... -0.34 eV per atom
E_tot ... -4.201 eV per atom
Symmetry ... F-43m, No. 216

***

Density functional theory data (PBE) for RbBaAs2Br after structural relaxation.

extended XYZ file:
```
5
Lattice="-1.882 -2.666 4.586 4.678 -3.128 0.101 2.707 4.163 3.531" Properties=species:S:1:pos:R:3 pbc="T T T"
As 2.339 -1.564 0.050
As -0.941 -1.333 2.293
Br 1.354 2.081 1.766
Ba 2.752 -0.816 4.109
Rb 0.000 0.000 0.000
```

Summary:
E_tot ... -2.704 eV per atom
Symmetry ... P4/mmm, No. 123
E_form (uncorrected) ... 0.07 eV/atom

***

Density functional theory data (PBE) for Na2LiCuH6 after structural relaxation.

extended XYZ file:
```
10
Lattice="-4.862 0.730 -0.021 -0.551 -3.576 3.328 -2.307 1.323 4.670" Properties=species:S:1:pos:R:3 pbc="T T T"
Na -4.937 0.315 3.152
Na -2.782 -1.838 4.826
Li 0.000 0.000 0.000
Cu -2.706 -1.423 1.654
H -2.487 0.085 3.310
H -6.199 -0.724 7.048
H -1.762 -2.367 2.388
H -3.651 -0.479 0.920
H -1.520 -0.800 0.929
H -5.232 -1.608 4.667
```

Summary:
E_tot ... -2.925 eV per atom
Symmetry ... I4/mmm, No. 139

***

Density functional theory data (PBE) for GdLuTcPd after structural relaxation.

extended XYZ file:
```
4
Lattice="4.855 0.000 0.000 2.428 4.205 0.000 2.428 1.402 3.964" Properties=species:S:1:pos:R:3 pbc="T T T"
Gd 7.283 4.205 2.973
Lu 2.428 1.402 0.991
Tc 4.855 2.803 1.982
Pd 0.000 0.000 0.000
```

Summary:
Energy of formation from the pure elements ... -0.39 eV per atom
E_tot ... -8.930 eV per atom
Symmetry ... F-43m, No. 216

***

Density functional theory data (PBE) for SrPt after structural relaxation.

extended XYZ file:
```
6
Lattice="1.989 5.862 0.006 -1.989 5.862 0.006 0.000 2.720 6.657" Properties=species:S:1:pos:R:3 pbc="T T T"
Sr 0.000 2.923 6.134
Sr 0.000 13.040 3.297
Sr 0.000 8.973 0.790
Pt 0.000 9.908 3.788
Pt 0.000 5.236 2.059
Pt 0.000 5.661 5.054
```

Summary:
Energy of formation from the pure elements ... -0.49 eV per atom
E_tot ... -4.356 eV per atom
Symmetry ... Cm, No. 8

***

Density functional theory data (PBE) for Ti2AlBiF after structural relaxation.

extended XYZ file:
```
5
Lattice="-0.608 -1.434 -5.205 5.504 -0.086 -0.620 0.080 -5.240 1.434" Properties=species:S:1:pos:R:3 pbc="T T T"
F 2.488 -3.380 -2.195
Al 2.752 -0.043 -0.310
Bi 0.000 0.000 0.000
Ti 0.040 -2.620 0.717
Ti -0.304 -0.717 -2.603
```

Summary:
E_tot ... -4.207 eV per atom
Symmetry ... P4/mmm, No. 123
E_form (uncorrected) ... 0.85 eV/atom

***

Density functional theory data (PBE) for Pr2NdYTm2 after structural relaxation.

extended XYZ file:
```
12
Lattice="-2.688 2.874 -4.122 -6.147 -1.269 3.123 0.940 8.465 5.290" Properties=species:S:1:pos:R:3 pbc="T T T"
Pr -1.522 1.547 -1.868
Pr -1.627 1.239 1.925
Pr -3.688 9.077 4.796
Pr -4.119 5.846 6.763
Nd -2.064 6.926 2.236
Nd -5.479 3.217 1.877
Y -5.587 2.849 5.630
Y -2.483 3.756 4.239
Tm -0.953 6.877 5.418
Tm -2.420 4.182 0.556
Tm -4.695 0.228 3.221
Tm -5.228 5.939 3.612
```

Summary:
Energy of formation from the pure elements ... 0.07 eV per atom
E_tot ... -4.886 eV per atom
Symmetry ... Pmc2_1, No. 26

***

Density functional theory data (PBE) for Tb8Pr4Er after structural relaxation.

extended XYZ file:
```
13
Lattice="7.641 -1.162 1.337 0.914 7.674 1.337 -1.526 -1.162 7.605" Properties=species:S:1:pos:R:3 pbc="T T T"
Tb 2.157 5.269 3.154
Tb 6.140 4.674 3.867
Tb 4.872 0.081 7.125
Tb 1.375 4.674 7.125
Tb 5.343 4.068 7.814
Tb 1.685 1.283 2.465
Tb 5.653 0.676 3.154
Tb 0.888 0.676 6.412
Pr 3.057 -1.162 4.471
Pr -0.306 3.256 4.471
Pr 4.277 3.256 1.337
Pr 0.000 0.000 0.000
Er 3.514 2.675 5.139
```

Summary:
Energy of formation from the pure elements ... 0.51 eV per atom
E_tot ... -4.158 eV per atom
Symmetry ... R-3m, No. 166

***

Density functional theory data (PBE) for Hf5Ir2N after structural relaxation.

extended XYZ file:
```
16
Lattice="-0.787 -4.037 -1.812 6.593 -0.195 3.146 -4.465 -3.238 9.155" Properties=species:S:1:pos:R:3 pbc="T T T"
Hf 0.825 -6.771 9.153
Hf 2.103 -5.843 6.531
Hf 1.865 -2.711 5.231
Hf 3.412 -1.590 2.060
Hf 1.072 -3.750 2.316
Hf 0.269 -3.721 8.174
Hf -0.524 -4.760 5.258
Hf -2.071 -5.881 8.429
Hf 0.516 -0.701 1.337
Hf -0.763 -1.628 3.959
Ir 2.771 -4.931 4.209
Ir 3.832 -4.162 2.034
Ir -1.430 -2.540 6.280
Ir -2.491 -3.309 8.456
N -0.027 -5.774 7.303
N 1.367 -1.697 3.186
```

Summary:
E_tot ... -9.993 eV per atom
Symmetry ... Cmcm, No. 63
E_form (uncorrected) ... -0.52 eV/atom

***

Density functional theory data (PBE) for SrSmScO4 after structural relaxation.

extended XYZ file:
```
7
Lattice="-1.374 -2.936 -2.385 3.703 -0.524 -1.488 0.037 -2.459 6.401" Properties=species:S:1:pos:R:3 pbc="T T T"
Sr 1.519 -2.966 -0.620
Sm 0.870 -3.033 3.233
Sc 0.010 -0.033 0.036
O 0.485 -5.556 3.164
O 3.024 -4.350 3.613
O 1.961 -4.507 1.022
O 0.431 -1.502 1.601
```

Summary:
E_tot ... -7.848 eV per atom
Symmetry ... I4mm, No. 107
E_form (uncorrected) ... -3.20 eV/atom

***

Density functional theory data (PBE) for TmCuH after structural relaxation.

extended XYZ file:
```
18
Lattice="4.712 0.000 0.000 0.000 6.392 0.000 0.000 0.000 8.641" Properties=species:S:1:pos:R:3 pbc="T T T"
H 4.204 2.750 7.620
H 4.204 2.750 1.021
H 3.684 5.487 0.000
H 1.848 3.642 3.299
H 1.848 3.642 5.342
H 1.328 0.905 4.321
Tm 0.684 1.996 2.589
Tm 0.684 1.996 6.052
Tm 3.105 1.140 0.000
Tm 0.748 5.252 4.321
Tm 3.040 4.396 1.732
Tm 3.040 4.396 6.910
Cu 3.194 3.028 4.321
Cu 3.080 0.493 3.045
Cu 3.080 0.493 5.596
Cu 0.838 3.365 0.000
Cu 0.724 5.899 1.276
Cu 0.724 5.899 7.365
```

Summary:
E_tot ... -4.255 eV per atom
Symmetry ... Pmn2_1, No. 31

***

Density functional theory data (PBE) for PmPr2CuO5 after structural relaxation.

extended XYZ file:
```
18
Lattice="-4.708 3.189 -1.443 -0.054 -2.790 -5.991 -3.943 -4.795 2.268" Properties=species:S:1:pos:R:3 pbc="T T T"
Pm -1.998 -3.792 -1.862
Pm 0.000 0.000 0.000
Pr -3.035 -1.041 -4.326
Pr -3.690 -0.475 -0.938
Pr -5.015 -3.921 -4.228
Pr -5.670 -3.355 -0.840
Cu -1.971 -2.397 1.134
Cu -0.027 -1.395 -2.996
O -4.353 -2.198 -2.583
O -2.354 1.595 -0.721
O -3.704 -2.890 0.199
O -2.464 -3.224 -4.587
O -1.742 -0.984 -1.991
O -4.426 -5.130 -2.397
O -6.242 -1.171 -0.579
O -6.963 -3.411 -3.175
O -5.001 -1.505 -5.365
O -4.280 0.735 -2.769
```

Summary:
E_tot ... -7.285 eV per atom
Symmetry ... P4/mbm, No. 127
E_form (uncorrected) ... -2.48 eV/atom

***

Density functional theory data (PBE) for Na2UTe4 after structural relaxation.

extended XYZ file:
```
7
Lattice="-2.536 -0.435 3.657 5.298 -5.517 3.017 1.510 8.417 -0.686" Properties=species:S:1:pos:R:3 pbc="T T T"
Na 2.665 -0.912 4.473
Na 1.606 3.376 1.515
U 0.000 0.000 0.000
Te 0.065 5.380 3.419
Te 4.206 -2.916 2.570
Te 0.171 0.604 2.924
Te 4.100 1.861 3.065
```

Summary:
E_tot ... -4.389 eV per atom
Symmetry ... C2/m, No. 12
E_form (uncorrected) ... -0.60 eV/atom

***

Density functional theory data (PBE) for TmZnAgIr after structural relaxation.

extended XYZ file:
```
4
Lattice="4.666 0.000 0.000 2.333 4.041 0.000 2.333 1.347 3.810" Properties=species:S:1:pos:R:3 pbc="T T T"
Zn 4.666 2.694 1.905
Ir 6.999 4.041 2.858
Tm 0.000 0.000 0.000
Ag 2.333 1.347 0.953
```

Summary:
Energy of formation from the pure elements ... -0.38 eV per atom
E_tot ... -4.739 eV per atom
Symmetry ... F-43m, No. 216

***

Density functional theory data (PBE) for LiLuAsPd after structural relaxation.

extended XYZ file:
```
4
Lattice="-4.244 1.645 -1.106 -1.317 0.255 -4.488 -3.283 -2.907 -1.646" Properties=species:S:1:pos:R:3 pbc="T T T"
As -2.211 -0.252 -1.810
Lu -4.422 -0.504 -3.620
Pd -6.632 -0.756 -5.430
Li 0.000 0.000 0.000
```

Summary:
Energy of formation from the pure elements ... -0.81 eV per atom
E_tot ... -4.880 eV per atom
Symmetry ... F-43m, No. 216

***

Density functional theory data (PBE) for AcAl2SiAg after structural relaxation.

extended XYZ file:
```
5
Lattice="4.481 0.000 0.000 0.000 4.433 0.000 -2.240 -2.217 5.423" Properties=species:S:1:pos:R:3 pbc="T T T"
Ac 0.000 0.000 4.755
Al 2.240 0.000 2.113
Al 0.000 0.000 0.648
Si 2.240 2.217 3.560
Ag 0.000 2.217 2.073
```

Summary:
E_tot ... -4.357 eV per atom
Symmetry ... Imm2, No. 44
E_form (uncorrected) ... -0.38 eV/atom

***

Density functional theory data (PBE) for AcGdMgRu after structural relaxation.

extended XYZ file:
```
4
Lattice="-1.021 5.129 -0.674 -1.597 2.929 4.084 3.226 3.624 2.067" Properties=species:S:1:pos:R:3 pbc="T T T"
Ru 0.304 5.841 2.738
Ac 0.152 2.920 1.369
Gd 0.456 8.761 4.107
Mg 0.000 0.000 0.000
```

Summary:
Energy of formation from the pure elements ... 0.00 eV per atom
E_tot ... -7.267 eV per atom
Symmetry ... F-43m, No. 216

***

Density functional theory data (PBE) for ZnSiCl2 after structural relaxation.

extended XYZ file:
```
8
Lattice="-7.309 0.517 -6.280 2.619 -8.498 -3.748 -3.734 -5.091 -3.488" Properties=species:S:1:pos:R:3 pbc="T T T"
Zn 0.000 0.000 0.000
Zn -6.694 -4.282 -7.391
Si -2.345 -3.990 -5.014
Si -1.730 -8.790 -6.125
Cl -3.894 -2.102 -4.165
Cl -1.490 -6.429 -5.100
Cl -4.100 -8.300 -7.033
Cl -7.363 -9.313 -10.734
```

Summary:
E_tot ... -2.895 eV per atom
Symmetry ... I-42d, No. 122
E_form (uncorrected) ... -0.30 eV/atom

***

Density functional theory data (PBE) for TlAu after structural relaxation.

extended XYZ file:
```
4
Lattice="3.444 0.047 -0.005 -1.176 5.432 -0.002 -1.090 -1.797 5.154" Properties=species:S:1:pos:R:3 pbc="T T T"
Tl 1.156 1.368 0.976
Tl 0.022 2.314 4.171
Au -0.833 3.886 1.640
Au 2.011 -0.204 3.508
```

Summary:
Energy of formation from the pure elements ... 0.02 eV per atom
E_tot ... -2.803 eV per atom
Symmetry ... P-1, No. 2

***

Density functional theory data (PBE) for MnHg2Os after structural relaxation.

extended XYZ file:
```
4
Lattice="-3.747 -0.159 3.400 -1.018 -4.805 1.226 4.329 2.619 -0.161" Properties=species:S:1:pos:R:3 pbc="T T T"
Hg 0.000 0.000 0.000
Hg 0.465 -2.334 1.689
Mn -2.382 -2.482 2.313
Os -0.900 -0.011 2.776
```

Summary:
Energy of formation from the pure elements ... 0.71 eV per atom
E_tot ... -4.542 eV per atom
Symmetry ... I-4m2, No. 119

***

Density functional theory data (PBE) for BeInTc after structural relaxation.

extended XYZ file:
```
3
Lattice="-0.121 -2.587 1.362 0.594 0.120 -2.863 6.249 0.401 1.314" Properties=species:S:1:pos:R:3 pbc="T T T"
Be 6.040 0.387 1.270
Tc 4.732 -0.502 -0.534
In 2.199 -1.551 0.391
```

Summary:
Energy of formation from the pure elements ... 0.49 eV per atom
E_tot ... -5.116 eV per atom
Symmetry ... P3m1, No. 156

***

Density functional theory data (PBE) for ScVGa2Ag after structural relaxation.

extended XYZ file:
```
5
Lattice="-3.241 -3.311 0.760 2.839 -3.325 -2.382 2.092 -1.117 4.052" Properties=species:S:1:pos:R:3 pbc="T T T"
Sc 0.845 -3.877 1.215
Ga 1.046 -0.558 2.026
Ga -1.620 -1.656 0.380
Ag 0.000 0.000 0.000
V 1.420 -1.663 -1.191
```

Summary:
Energy of formation from the pure elements ... 0.76 eV per atom
E_tot ... -4.110 eV per atom
Symmetry ... P4/mmm, No. 123

***

Density functional theory data (PBE) for Hg4Au after structural relaxation.

extended XYZ file:
```
10
Lattice="5.160 -0.091 -1.769 -1.017 6.059 -2.520 0.056 -0.109 8.199" Properties=species:S:1:pos:R:3 pbc="T T T"
Hg 3.535 0.030 1.801
Hg 0.637 2.076 1.847
Hg 1.578 3.182 4.614
Hg 4.481 1.475 4.405
Hg 2.620 2.677 -0.704
Hg -0.282 4.384 -0.495
Hg 3.561 3.783 2.063
Hg 0.663 5.829 2.110
Au 3.875 -0.061 -1.312
Au 0.323 5.920 5.223
```

Summary:
Energy of formation from the pure elements ... 0.04 eV per atom
E_tot ... -0.857 eV per atom
Symmetry ... C2/c, No. 15